BaCr3C | PBE | optimized geometry

Geometry as CIF:
```
data_BaCr3C
_chemical_formula_sum 'Ba1 Cr3 C1'
_symmetry_space_group_name_H-M 'P m -3 m'
_symmetry_Int_Tables_number 221
_symmetry_space_group_name_Hall '-P 4 2 3'
_cell_length_a 5.1567
_cell_length_b 5.1567
_cell_length_c 5.1567
_cell_angle_alpha 90.00
_cell_angle_beta 90.00
_cell_angle_gamma 90.00
loop_
_atom_site_label
_atom_site_fract_x
_atom_site_fract_y
_atom_site_fract_z
Ba1 0.0000 0.0000 0.0000
Cr1 0.0000 0.0000 0.5000
C1 0.5000 0.5000 0.5000
```

## Properties
**ΔE_f**: 3.61 eV/atom
**Distance to the lowest polymorph of the same formula**: 2686 meV/atom
**Calculated volume**: 137.1 Å³/f.u.
**Calculated total energy**: -4.388 eV per atom

***

BaCrC2 | PBE | optimized geometry

Geometry as CIF:
```
data_BaCrC2
_chemical_formula_sum 'Ba4 Cr4 C8'
_symmetry_space_group_name_H-M 'I -4 2 d'
_symmetry_Int_Tables_number 122
_symmetry_space_group_name_Hall 'I -4 2bw'
_cell_length_a 5.8231
_cell_length_b 5.8231
_cell_length_c 8.2281
_cell_angle_alpha 90.00
_cell_angle_beta 90.00
_cell_angle_gamma 90.00
loop_
_atom_site_label
_atom_site_fract_x
_atom_site_fract_y
_atom_site_fract_z
Ba1 0.0000 0.0000 0.0000
Cr1 0.0000 0.0000 0.5000
C1 0.0623 0.7500 0.6250
```

## Properties
**ΔE_f**: 0.30 eV/atom
**Distance to the lowest polymorph of the same formula**: 0 meV/atom
**Calculated volume**: 69.8 Å³/f.u.
**Calculated total energy**: -7.199 eV per atom

***

BaCrC2 | PBE | optimized geometry

Geometry as CIF:
```
data_BaCrC2
_chemical_formula_sum 'Ba4 Cr4 C8'
_symmetry_space_group_name_H-M 'F m -3 m'
_symmetry_Int_Tables_number 225
_symmetry_space_group_name_Hall '-F 4 2 3'
_cell_length_a 6.1634
_cell_length_b 6.1634
_cell_length_c 6.1634
_cell_angle_alpha 90.00
_cell_angle_beta 90.00
_cell_angle_gamma 90.00
loop_
_atom_site_label
_atom_site_fract_x
_atom_site_fract_y
_atom_site_fract_z
Ba1 0.0000 0.0000 0.0000
Cr1 0.0000 0.0000 0.5000
C1 0.2500 0.2500 0.2500
```

## Properties
**ΔE_f**: 2.29 eV/atom
**Distance to the lowest polymorph of the same formula**: 1993 meV/atom
**Calculated volume**: 58.5 Å³/f.u.
**Calculated total energy**: -5.206 eV per atom

***

BaCr3C | PBE | optimized geometry

Geometry as CIF:
```
data_BaCr3C
_chemical_formula_sum 'Ba1 Cr3 C1'
_symmetry_space_group_name_H-M 'P m -3 m'
_symmetry_Int_Tables_number 221
_symmetry_space_group_name_Hall '-P 4 2 3'
_cell_length_a 4.3021
_cell_length_b 4.3021
_cell_length_c 4.3021
_cell_angle_alpha 90.00
_cell_angle_beta 90.00
_cell_angle_gamma 90.00
loop_
_atom_site_label
_atom_site_fract_x
_atom_site_fract_y
_atom_site_fract_z
Ba1 0.0000 0.0000 0.0000
Cr1 0.0000 0.5000 0.5000
C1 0.5000 0.5000 0.5000
```

## Properties
**ΔE_f**: 0.93 eV/atom
**Distance to the lowest polymorph of the same formula**: 0 meV/atom
**Calculated volume**: 79.6 Å³/f.u.
**Calculated total energy**: -7.075 eV per atom

***

BaCr2FeC | PBE | optimized geometry

Geometry as CIF:
```
data_BaCr2FeC
_chemical_formula_sum 'Ba1 Cr2 Fe1 C1'
_symmetry_space_group_name_H-M 'P 4/m m m'
_symmetry_Int_Tables_number 123
_symmetry_space_group_name_Hall '-P 4 2'
_cell_length_a 5.6541
_cell_length_b 5.6541
_cell_length_c 4.7136
_cell_angle_alpha 90.00
_cell_angle_beta 90.00
_cell_angle_gamma 90.00
loop_
_atom_site_label
_atom_site_fract_x
_atom_site_fract_y
_atom_site_fract_z
Ba1 0.0000 0.0000 0.0000
Cr1 0.0000 0.5000 0.0000
Fe1 0.0000 0.0000 0.5000
C1 0.5000 0.5000 0.5000
```

## Properties
**ΔE_f**: 3.58 eV/atom
**Calculated volume**: 150.7 Å³/f.u.
**Calculated total energy**: -4.194 eV per atom

***

BaCrGeC2 | PBE | optimized geometry

Geometry as CIF:
```
data_BaCrGeC2
_chemical_formula_sum 'Ba1 Cr1 Ge1 C2'
_symmetry_space_group_name_H-M 'P 4/m m m'
_symmetry_Int_Tables_number 123
_symmetry_space_group_name_Hall '-P 4 2'
_cell_length_a 4.1066
_cell_length_b 4.1066
_cell_length_c 5.5099
_cell_angle_alpha 90.00
_cell_angle_beta 90.00
_cell_angle_gamma 90.00
loop_
_atom_site_label
_atom_site_fract_x
_atom_site_fract_y
_atom_site_fract_z
Ba1 0.0000 0.0000 0.0000
Cr1 0.0000 0.0000 0.5000
Ge1 0.5000 0.5000 0.0000
C1 0.0000 0.5000 0.5000
```

## Properties
**ΔE_f**: 1.68 eV/atom
**Calculated volume**: 92.9 Å³/f.u.
**Calculated total energy**: -5.240 eV per atom

***

BaHfCrC2 | PBE | optimized geometry

Geometry as CIF:
```
data_BaHfCrC2
_chemical_formula_sum 'Ba1 Hf1 Cr1 C2'
_symmetry_space_group_name_H-M 'P 4/m m m'
_symmetry_Int_Tables_number 123
_symmetry_space_group_name_Hall '-P 4 2'
_cell_length_a 4.1551
_cell_length_b 4.1551
_cell_length_c 4.7390
_cell_angle_alpha 90.00
_cell_angle_beta 90.00
_cell_angle_gamma 90.00
loop_
_atom_site_label
_atom_site_fract_x
_atom_site_fract_y
_atom_site_fract_z
Ba1 0.0000 0.0000 0.0000
Hf1 0.5000 0.5000 0.0000
Cr1 0.5000 0.5000 0.5000
C1 0.0000 0.5000 0.5000
```

## Properties
**ΔE_f**: 1.39 eV/atom
**Calculated volume**: 81.8 Å³/f.u.
**Calculated total energy**: -6.603 eV per atom

***

BaLiCr2C | PBE | optimized geometry

Geometry as CIF:
```
data_BaLiCr2C
_chemical_formula_sum 'Ba1 Li1 Cr2 C1'
_symmetry_space_group_name_H-M 'P 4/m m m'
_symmetry_Int_Tables_number 123
_symmetry_space_group_name_Hall '-P 4 2'
_cell_length_a 6.1296
_cell_length_b 6.1296
_cell_length_c 4.8651
_cell_angle_alpha 90.00
_cell_angle_beta 90.00
_cell_angle_gamma 90.00
loop_
_atom_site_label
_atom_site_fract_x
_atom_site_fract_y
_atom_site_fract_z
Ba1 0.0000 0.0000 0.0000
Li1 0.5000 0.5000 0.5000
Cr1 0.0000 0.5000 0.0000
C1 0.0000 0.0000 0.5000
```

## Properties
**ΔE_f**: 2.30 eV/atom
**Calculated volume**: 182.8 Å³/f.u.
**Calculated total energy**: -4.165 eV per atom

***

Ba2CrC2N6 | PBE | optimized geometry

Geometry as CIF:
```
data_Ba2CrC2N6
_chemical_formula_sum 'Ba6 Cr3 C6 N18'
_symmetry_space_group_name_H-M 'R -3 m'
_symmetry_Int_Tables_number 166
_symmetry_space_group_name_Hall '-R 3 2"'
_cell_length_a 5.2272
_cell_length_b 5.2272
_cell_length_c 17.4122
_cell_angle_alpha 90.00
_cell_angle_beta 90.00
_cell_angle_gamma 120.00
loop_
_atom_site_label
_atom_site_fract_x
_atom_site_fract_y
_atom_site_fract_z
Ba1 0.0000 0.0000 0.2178
Cr1 0.0000 0.0000 0.0000
C1 0.0000 0.0000 0.3954
N1 0.0324 0.5162 0.2679
```

## Properties
**Formation energy (no corrections)**: -0.197 eV/atom
**Calculated volume**: 137.4 Å³/f.u.
**Calculated total energy**: -7.640 eV per atom